No. 1
The following is a DFT calculation (GGA-PBEsol) of a relaxed structure of LiLaSc2.

```
LiLaSc2
1.0
3.2817 0.0000 0.0000
0.0000 5.0197 0.0000
-1.6378 0.0000 6.1907
Li La Sc
1 1 2
Direct
0.0000 0.0000 0.0000 Li
0.3838 0.5000 0.7630 La
0.1331 0.5000 0.2577 Sc
0.7313 0.0000 0.4563 Sc
```

Summary:
**Density**: 3.84 g/cm3
**Formation energy**: 0.179 eV/atom
**E above lowest polymorph**: 1.08 kJ/mol of atoms
**Symmetry**: Pm, No. 6
**V**: 102.0 Å³/f.u.
**E**: -4.951 eV per atom

=====

No. 2
The following is a DFT calculation (GGA-PBEsol) of a relaxed structure of LiLaSe.

```
LiLaSe
1.0
4.1817 0.0000 0.0000
-2.0908 3.6214 0.0000
0.0000 0.0000 4.1960
Li La Se
1 1 1
Direct
0.0000 0.0000 0.0000 Li
0.6667 0.3333 0.5000 La
0.3333 0.6667 0.0000 Se
```

Summary:
**Density**: 5.87 g/cm3
**Symmetry**: P-6m2, No. 187
**V**: 63.5 Å³/f.u.
**E**: -4.963 eV per atom

=====

No. 3
The following is a DFT calculation (GGA-PBEsol) of a relaxed structure of LiLa2Se.

```
LiLa2Se
1.0
4.8097 0.0000 0.0000
0.0000 4.8097 0.0000
0.0000 0.0000 8.6416
Li La Se
2 4 2
Direct
0.0000 0.0000 0.0000 Li
0.5000 0.5000 0.5000 Li
0.0000 0.5000 0.2500 La
0.0000 0.5000 0.7500 La
0.5000 0.0000 0.2500 La
0.5000 0.0000 0.7500 La
0.0000 0.0000 0.5000 Se
0.5000 0.5000 0.0000 Se
```

Summary:
**Density**: 6.04 g/cm3
**Symmetry**: I4/mmm, No. 139
**V**: 100.0 Å³/f.u.
**E**: -4.768 eV per atom

=====

No. 4
The following is a DFT calculation (GGA-PBEsol) of a relaxed structure of Li2LaSe2.

```
Li2LaSe2
1.0
7.7815 0.0000 0.0000
0.0000 7.7815 0.0000
0.0000 0.0000 3.7219
Li La Se
4 2 4
Direct
0.1307 0.3693 0.0000 Li
0.3693 0.8693 0.0000 Li
0.6307 0.1307 0.0000 Li
0.8693 0.6307 0.0000 Li
0.0000 0.0000 0.5000 La
0.5000 0.5000 0.5000 La
0.1668 0.6668 0.5000 Se
0.3332 0.1668 0.5000 Se
0.6668 0.8332 0.5000 Se
0.8332 0.3332 0.5000 Se
```

Summary:
**Density**: 4.58 g/cm3
**Symmetry**: P4/mbm, No. 127
**V**: 112.7 Å³/f.u.
**E**: -4.569 eV per atom

=====

No. 5
The following is a DFT calculation (GGA-PBEsol) of a relaxed structure of LiLa2Se.

```
LiLa2Se
1.0
5.0860 0.0000 0.0000
0.0000 5.1135 0.0000
0.0000 0.0000 8.0377
Li La Se
2 4 2
Direct
0.0000 0.0000 0.0000 Li
0.5000 0.5000 0.0000 Li
0.0000 0.0000 0.6290 La
0.0000 0.5000 0.2760 La
0.5000 0.0000 0.2760 La
0.5000 0.5000 0.6290 La
0.0000 0.5000 0.8787 Se
0.5000 0.0000 0.8787 Se
```

Summary:
**Density**: 5.78 g/cm3
**Symmetry**: Cmm2, No. 35
**V**: 104.5 Å³/f.u.
**E**: -4.795 eV per atom

=====

No. 6
The following is a DFT calculation (GGA-PBEsol) of a relaxed structure of LiLa2Se.

```
LiLa2Se
1.0
4.2952 0.0000 0.0000
0.0000 4.2952 0.0000
0.0000 0.0000 6.0776
Li La Se
1 2 1
Direct
0.0000 0.0000 0.0000 Li
0.0000 0.0000 0.4996 La
0.5000 0.5000 0.9989 La
0.5000 0.5000 0.4992 Se
```

Summary:
**Density**: 5.39 g/cm3
**Symmetry**: P4mm, No. 99
**V**: 112.1 Å³/f.u.
**E**: -4.866 eV per atom